*w*
DyEr2Mg4 | PBE | relaxed

- Calculated volume: 29.4 A^3/atom
- Crystal system: tetragonal

Cell lengths 5.3647, 5.3647, 8.1028 Å; angles 109.33, 109.33, 90.00 degrees
Each line ends with the local moment (μB).
Positions (direct):
Er: 0.2495 0.2495 0.4989  0.08
Er: 0.7505 0.7505 0.5011  0.08
Mg: 0.3819 0.8819 0.7639  0.00
Mg: 0.8819 0.3819 0.7639  0.00
Mg: 0.1181 0.6181 0.2361  0.00
Mg: 0.6181 0.1181 0.2361  0.00
Dy: 0.0000 0.0000 0.0000  -0.01



*x*
DyEr2Mg4 | PBE | relaxed

- Calculated volume: 29.7 A^3/atom
- Crystal system: orthorhombic

Cell lengths 5.4243, 5.9449, 7.1035 Å; angles 114.74, 90.00, 90.00 degrees
Positions (direct):
Er: 0.5000 0.1308 0.2617
Er: 0.5000 0.8692 0.7383
Mg: 0.5000 0.3801 0.7602
Mg: 0.0000 0.7452 0.4905
Mg: 0.5000 0.6199 0.2398
Mg: 0.0000 0.2548 0.5095
Dy: 0.0000 0.5000 0.0000



Stability ranking, top entry: *w*; the second entry is 248 meV/atom less favorable.



*w*
Dy3ErMg | PBE | relaxed

- Calculated volume: 32.2 A^3/atom
- Crystal system: monoclinic

Cell lengths 3.5786, 9.7447, 11.1072 Å; angles 90.00, 90.00, 123.80 degrees
Positions (direct):
Dy: 0.0483 0.6955 0.0071
Dy: 0.6002 0.3982 0.2500
Dy: 0.9517 0.3045 0.5071
Dy: 0.9517 0.3045 0.9929
Dy: 0.0483 0.6955 0.4929
Dy: 0.3998 0.6018 0.7500
Mg: 0.5793 0.7152 0.2500
Mg: 0.4207 0.2848 0.7500
Er: 0.4345 0.9640 0.7500
Er: 0.5655 0.0360 0.2500



*x*
Dy3ErMg | PBE | relaxed

- Calculated volume: 29.8 A^3/atom
- Crystal system: monoclinic

Cell lengths 3.6310, 6.6358, 12.8731 Å; angles 86.73, 90.01, 74.12 degrees
Positions (direct):
Dy: 0.8496 0.3005 0.5635
Dy: 0.6340 0.7316 0.9775
Dy: 0.1504 0.6995 0.4365
Dy: 0.9653 0.0702 0.8117
Dy: 0.0347 0.9298 0.1883
Dy: 0.3660 0.2684 0.0225
Er: 0.2342 0.5317 0.7631
Er: 0.7658 0.4683 0.2369
Mg: 0.4362 0.1271 0.3757
Mg: 0.5638 0.8729 0.6243



Stability ranking, top entry: *x*; the second entry is 212 meV/atom less favorable.



*w*
DyErMgNi | PBE | relaxed

- Calculated volume: 22.4 A^3/atom
- Crystal system: cubic

Cell lengths 5.0245, 5.0245, 5.0245 Å; angles 60.00, 60.00, 60.00 degrees
Positions (direct):
Er: 0.2500 0.2500 0.2500
Mg: 0.5000 0.5000 0.5000
Dy: 0.7500 0.7500 0.7500
Ni: 0.0000 0.0000 0.0000



*x*
DyErMgNi | PBE | relaxed

- Calculated volume: 23.1 A^3/atom
- Crystal system: tetragonal

Cell lengths 3.4270, 3.4270, 7.8729 Å; angles 90.00, 90.00, 90.00 degrees
Positions (direct):
Mg: 0.0000 0.0000 0.0686
Er: 0.5000 0.5000 0.7733
Ni: 0.0000 0.0000 0.5746
Dy: 0.5000 0.5000 0.3682



Stability ranking, top entry: *x*; the second entry is 137 meV/atom less favorable.



*w*
DyErMgOs | PBE | relaxed

- Calculated volume: 24.2 A^3/atom
- Crystal system: tetragonal

Cell lengths 3.3911, 3.3911, 8.4216 Å; angles 90.00, 90.00, 90.00 degrees
Positions (direct):
Er: 0.5000 0.5000 0.3752
Os: 0.0000 0.0000 0.5688
Mg: 0.0000 0.0000 0.0735
Dy: 0.5000 0.5000 0.7671



*x*
DyErMgOs | PBE | relaxed

- Calculated volume: 21.7 A^3/atom
- Crystal system: cubic

Cell lengths 4.9729, 4.9729, 4.9729 Å; angles 60.00, 60.00, 60.00 degrees
Positions (direct):
Dy: 0.2500 0.2500 0.2500
Er: 0.7500 0.7500 0.7500
Mg: 0.0000 0.0000 0.0000
Os: 0.5000 0.5000 0.5000



Stability ranking, top entry: *w*; the second entry is 62 meV/atom less favorable.



*w*
PmDyErMg | PBE | relaxed

- Calculated volume: 29.9 A^3/atom
- Crystal system: tetragonal

Cell lengths 3.6226, 3.6226, 9.1238 Å; angles 90.00, 90.00, 90.00 degrees
Positions (direct):
Pm: 0.0000 0.0000 0.0725
Er: 0.5000 0.5000 0.3429
Mg: 0.0000 0.0000 0.5694
Dy: 0.5000 0.5000 0.7998



*x*
PmDyErMg | PBE | relaxed

- Calculated volume: 29.8 A^3/atom
- Crystal system: cubic

Cell lengths 5.5245, 5.5245, 5.5245 Å; angles 60.00, 60.00, 60.00 degrees
Positions (direct):
Pm: 0.7500 0.7500 0.7500
Dy: 0.2500 0.2500 0.2500
Er: 0.0000 0.0000 0.0000
Mg: 0.5000 0.5000 0.5000



Stability ranking, top entry: *w*; the second entry is 59 meV/atom less favorable.



*w*
DyErThMg | PBE | relaxed

- Calculated volume: 29.6 A^3/atom
- Crystal system: cubic

Cell lengths 5.5090, 5.5090, 5.5090 Å; angles 60.00, 60.00, 60.00 degrees
Positions (direct):
Dy: 0.7500 0.7500 0.7500
Mg: 0.0000 0.0000 0.0000
Er: 0.5000 0.5000 0.5000
Th: 0.2500 0.2500 0.2500



*x*
DyErThMg | PBE | relaxed

- Calculated volume: 29.4 A^3/atom
- Crystal system: tetragonal

Cell lengths 3.5725, 3.5725, 9.2009 Å; angles 90.00, 90.00, 90.00 degrees
Positions (direct):
Er: 0.0000 0.0000 0.0817
Th: 0.5000 0.5000 0.8228
Dy: 0.0000 0.0000 0.5613
Mg: 0.5000 0.5000 0.3190



Stability ranking, top entry: *x*; the second entry is 139 meV/atom less favorable.



*w*
DyErTmMg | PBE | relaxed

- Calculated volume: 29.0 A^3/atom
- Crystal system: tetragonal

Cell lengths 3.5379, 3.5379, 9.2650 Å; angles 90.00, 90.00, 90.00 degrees
Positions (direct):
Er: 0.5000 0.5000 0.3320
Tm: 0.0000 0.0000 0.0724
Dy: 0.5000 0.5000 0.8108
Mg: 0.0000 0.0000 0.5695



*x*
DyErTmMg | PBE | relaxed

- Calculated volume: 28.7 A^3/atom
- Crystal system: cubic

Cell lengths 5.4529, 5.4529, 5.4529 Å; angles 60.00, 60.00, 60.00 degrees
Positions (direct):
Tm: 0.5000 0.5000 0.5000
Dy: 0.2500 0.2500 0.2500
Er: 0.7500 0.7500 0.7500
Mg: 0.0000 0.0000 0.0000



Stability ranking, top entry: *w*; the second entry is 65 meV/atom less favorable.



*w*
DyYErMg | PBE | relaxed

- Calculated volume: 29.5 A^3/atom
- Crystal system: tetragonal

Cell lengths 3.5785, 3.5785, 9.2184 Å; angles 90.00, 90.00, 90.00 degrees
Positions (direct):
Mg: 0.0000 0.0000 0.5704
Y: 0.5000 0.5000 0.8072
Dy: 0.5000 0.5000 0.3342
Er: 0.0000 0.0000 0.0729



*x*
DyYErMg | PBE | relaxed

- Calculated volume: 29.2 A^3/atom
- Crystal system: cubic

Cell lengths 5.4895, 5.4895, 5.4895 Å; angles 60.00, 60.00, 60.00 degrees
Positions (direct):
Y: 0.7500 0.7500 0.7500
Er: 0.5000 0.5000 0.5000
Dy: 0.2500 0.2500 0.2500
Mg: 0.0000 0.0000 0.0000



Stability ranking, top entry: *w*; the second entry is 71 meV/atom less favorable.



*w*
DyErMn2 | PBE | relaxed

- Calculated volume: 21.6 A^3/atom
- Crystal system: tetragonal

Cell lengths 3.5718, 4.9193, 4.9193 Å; angles 90.00, 90.00, 90.00 degrees
Each line ends with the local moment (μB).
Positions (direct):
Mn: 0.0000 0.0000 0.5000  3.41
Mn: 0.0000 0.5000 0.0000  3.41
Er: 0.5000 0.0000 0.0000  -0.25
Dy: 0.5000 0.5000 0.5000  -0.27



*x*
DyErMn2 | PBE | relaxed

- Calculated volume: 21.4 A^3/atom
- Crystal system: cubic

Cell lengths 4.9503, 4.9503, 4.9503 Å; angles 60.00, 60.00, 60.00 degrees
Each line ends with the local moment (μB).
Positions (direct):
Er: 0.5000 0.5000 0.5000  -0.27
Mn: 0.7500 0.7500 0.7500  3.37
Mn: 0.2500 0.2500 0.2500  3.37
Dy: 0.0000 0.0000 0.0000  -0.27



Stability ranking, top entry: *x*; the second entry is 5 meV/atom less favorable.



*w*
NaDyEr2 | PBE | relaxed

- Calculated volume: 32.3 A^3/atom
- Crystal system: tetragonal

Cell lengths 3.5224, 3.5224, 10.4145 Å; angles 90.00, 90.00, 90.00 degrees
Positions (direct):
Er: 0.0000 0.0000 0.2288
Er: 0.0000 0.0000 0.7712
Dy: 0.5000 0.5000 0.0000
Na: 0.5000 0.5000 0.5000



*x*
NaDyEr2 | PBE | relaxed

- Calculated volume: 32.9 A^3/atom
- Crystal system: trigonal

Cell lengths 3.4744, 3.4744, 12.7594 Å; angles 82.17, 82.17, 60.00 degrees
Positions (direct):
Er: 0.0922 0.0922 0.7233
Er: 0.9078 0.9078 0.2767
Na: 0.0000 0.0000 0.0000
Dy: 0.5000 0.5000 0.5000



Stability ranking, top entry: *w*; the second entry is 31 meV/atom less favorable.



*w*
NdDy3Er4 | PBE | relaxed

- Calculated volume: 31.9 A^3/atom
- Crystal system: orthorhombic

Cell lengths 6.2592, 7.2468, 11.2380 Å; angles 90.00, 90.00, 90.00 degrees
Positions (direct):
Er: 0.9810 0.1231 0.7484
Er: 0.1486 0.8772 0.5000
Er: 0.6479 0.1231 0.5000
Er: 0.4810 0.8769 0.7516
Er: 0.1479 0.8769 0.0000
Er: 0.9810 0.1231 0.2516
Er: 0.4810 0.8769 0.2484
Er: 0.6486 0.1228 0.0000
Dy: 0.4812 0.3728 0.2499
Dy: 0.1471 0.3732 0.5000
Dy: 0.4812 0.3728 0.7501
Dy: 0.9812 0.6272 0.2501
Dy: 0.6471 0.6268 0.0000
Dy: 0.9812 0.6272 0.7499
Nd: 0.6472 0.6262 0.5000
Nd: 0.1472 0.3738 0.0000



*x*
NdDy3Er4 | PBE | relaxed

- Calculated volume: 32.2 A^3/atom
- Crystal system: monoclinic

Cell lengths 3.4549, 6.6484, 11.8351 Å; angles 106.42, 98.39, 90.00 degrees
Positions (direct):
Dy: 0.8736 0.1195 0.7471
Dy: 0.0000 0.5000 0.0000
Dy: 0.1264 0.8805 0.2529
Er: 0.7397 0.2418 0.4794
Er: 0.1263 0.3700 0.2526
Er: 0.8737 0.6300 0.7474
Er: 0.2603 0.7582 0.5206
Nd: 0.5000 0.0000 0.0000



Stability ranking, top entry: *w*; the second entry is 167 meV/atom less favorable.



*w*
Nd2Dy3Er | PBE | relaxed

- Calculated volume: 33.0 A^3/atom
- Crystal system: monoclinic

Cell lengths 6.6844, 10.1842, 10.1842 Å; angles 68.50, 49.26, 49.26 degrees
Positions (direct):
Nd: 0.4143 0.4023 0.9324
Nd: 0.5857 0.5977 0.0676
Nd: 0.0857 0.0676 0.5977
Nd: 0.9143 0.9324 0.4023
Dy: 0.6655 0.6667 0.6677
Dy: 0.8345 0.3323 0.3333
Dy: 0.3345 0.3333 0.3323
Dy: 0.7500 0.7344 0.2656
Dy: 0.2500 0.2656 0.7344
Dy: 0.1655 0.6677 0.6667
Er: 0.0000 0.0000 0.0000
Er: 0.5000 0.0000 0.0000



*x*
Nd2Dy3Er | PBE | relaxed

- Calculated volume: 32.7 A^3/atom
- Crystal system: monoclinic

Cell lengths 5.6168, 9.0212, 9.9705 Å; angles 123.18, 90.00, 108.14 degrees
Positions (direct):
Er: 0.1313 0.2627 0.1322
Er: 0.8687 0.7373 0.8678
Dy: 0.6140 0.2279 0.6560
Dy: 0.9552 0.9105 0.6129
Dy: 0.2888 0.5777 0.5727
Dy: 0.0448 0.0895 0.3871
Dy: 0.3860 0.7721 0.3440
Dy: 0.7112 0.4223 0.4273
Nd: 0.4937 0.9874 0.1434
Nd: 0.7674 0.5348 0.1247
Nd: 0.5063 0.0126 0.8566
Nd: 0.2326 0.4652 0.8753



Stability ranking, top entry: *x*; the second entry is 96 meV/atom less favorable.



*w*
Nd2Dy3Er6 | PBE | relaxed

- Calculated volume: 33.4 A^3/atom
- Crystal system: monoclinic

Cell lengths 6.0799, 6.0865, 11.6529 Å; angles 84.97, 79.89, 60.04 degrees
Positions (direct):
Dy: 0.3351 0.3297 0.0000
Dy: 0.0000 0.0000 0.0000
Dy: 0.6649 0.6703 0.0000
Er: 0.0824 0.3334 0.7531
Er: 0.2508 0.0000 0.2470
Er: 0.7492 0.0000 0.7530
Er: 0.4158 0.6666 0.7531
Er: 0.9176 0.6666 0.2469
Er: 0.5842 0.3334 0.2469
Nd: 0.1666 0.6668 0.5000
Nd: 0.8334 0.3332 0.5000



*x*
Nd2Dy3Er6 | PBE | relaxed

- Calculated volume: 33.4 A^3/atom
- Crystal system: tetragonal

Cell lengths 4.7154, 4.7154, 16.8663 Å; angles 98.04, 98.04, 90.00 degrees
Positions (direct):
Er: 0.3777 0.8777 0.7554
Er: 0.1223 0.6223 0.2446
Er: 0.8777 0.3777 0.7554
Er: 0.6950 0.6950 0.3901
Er: 0.3050 0.3050 0.6099
Er: 0.6223 0.1223 0.2446
Dy: 0.7982 0.7982 0.5963
Dy: 0.0000 0.0000 0.0000
Dy: 0.2018 0.2018 0.4037
Nd: 0.4537 0.4537 0.9074
Nd: 0.5463 0.5463 0.0926



Stability ranking, top entry: *w*; the second entry is 86 meV/atom less favorable.